The following is a PBE-GGA calculation of AsSe2IN after structural relaxation, from the Alexandria database.

As for the energy relative to the elements, uncorrected: 1035.2 meV/atom. The density of states at the Fermi level comes out at 0.583 states/eV/atom. For the mass density, the calculation gives 6.36 Mg/m³. As for the energy above the most stable polymorph in this dataset: 112 meV/atom.

It has space group P4/mmm (No. 123), with a = 4.6406 Å, b = 4.6406 Å, c = 4.5338 Å, α = 90.00°, β = 90.00° and γ = 90.00°. Symmetry generates all atoms from As at (0.0000, 0.0000, 0.0000), Se at (0.0000, 0.5000, 0.5000), I at (0.5000, 0.5000, 0.0000) and N at (0.0000, 0.0000, 0.5000).

***

The following is a PBE-GGA calculation of AlAgHF2 after structural relaxation, from the Alexandria database.

Its electronic total energy is -3.920 eV/atom. The density of states at the Fermi level comes out at 0.332 states/eV/atom. For the mass density, the calculation gives 4.03 Mg/m³.

It has space group P4/mmm (No. 123), with a = 3.5432 Å, b = 3.5432 Å, c = 5.7130 Å, α = 90.00°, β = 90.00° and γ = 90.00°. Symmetry generates all atoms from Al at (0.0000, 0.0000, 0.0000), Ag at (0.0000, 0.0000, 0.5000), H at (0.5000, 0.5000, 0.5000) and F at (0.0000, 0.5000, 0.0000).

***

Repeat the first record exactly.
The following is a PBE-GGA calculation of AsSe2IN after structural relaxation, from the Alexandria database.

As for the energy relative to the elements, uncorrected: 1035.2 meV/atom. The density of states at the Fermi level comes out at 0.583 states/eV/atom. For the mass density, the calculation gives 6.36 Mg/m³. As for the energy above the most stable polymorph in this dataset: 112 meV/atom.

It has space group P4/mmm (No. 123), with a = 4.6406 Å, b = 4.6406 Å, c = 4.5338 Å, α = 90.00°, β = 90.00° and γ = 90.00°. Symmetry generates all atoms from As at (0.0000, 0.0000, 0.0000), Se at (0.0000, 0.5000, 0.5000), I at (0.5000, 0.5000, 0.0000) and N at (0.0000, 0.0000, 0.5000).